Record 1
An optimized crystal structure of CaScTe2. Source: Alexandria via LeMat-Bulk, functional GGA-PBE.

Summary:
N(E_F)	4.11	states/eV/f.u.
ΔE_f (raw)	-1.028	eV/atom
spin magnetization	0.196	μB per atom

```
CaScTe2
1.0
1.569 3.223 3.957
-3.248 0.928 4.135
1.145 -2.032 4.803
Sc Te Ca
1 2 1
direct
0.500 0.500 0.500
0.250 0.250 0.250
0.750 0.750 0.750
0.000 0.000 0.000
```

***

Record 2
An optimized crystal structure of LiVP2N6. Source: Alexandria via LeMat-Bulk, functional GGA-PBE.

Summary:
N(E_F)	4.97	states/eV/f.u.
ΔE_f (raw)	-0.260	eV/atom
spin magnetization	0.000	μB per atom

```
LiVP2N6
1.0
5.169 0.373 0.387
2.115 7.407 -0.329
2.115 -0.603 7.390
P N V Li
4 12 2 2
direct
0.252 0.824 0.675
0.752 0.675 0.824
0.748 0.176 0.325
0.248 0.325 0.176
0.067 0.551 0.227
0.433 0.773 0.449
0.654 0.729 0.050
0.154 0.050 0.729
0.346 0.271 0.950
0.933 0.449 0.773
0.955 0.783 0.715
0.545 0.285 0.217
0.455 0.715 0.783
0.045 0.217 0.285
0.567 0.227 0.551
0.846 0.950 0.271
0.250 0.249 0.751
0.750 0.751 0.249
0.250 0.750 0.250
0.750 0.250 0.750
```

***

Record 3
An optimized crystal structure of La2CeHfAs4. Source: Alexandria via LeMat-Bulk, functional GGA-PBE.

Summary:
ΔH_f (0 K)	-1.370	eV per atom
N(E_F)	6.89	states/eV/f.u.
spin magnetization	0.083	μB per atom

```
La2CeHfAs4
1.0
4.174 0.000 0.000
0.000 7.225 0.135
0.000 -2.516 6.831
As La Ce Hf
4 2 1 1
direct
0.500 0.230 0.223
0.000 0.757 0.230
0.500 0.770 0.777
0.000 0.243 0.770
0.500 0.000 0.500
0.000 0.500 0.500
0.500 0.500 0.000
0.000 0.000 0.000
```

***

Record 4
An optimized crystal structure of Bi2PPtAu. Source: Alexandria via LeMat-Bulk, functional GGA-PBE.

Summary:
ΔH_f (0 K)	0.665	eV per atom
N(E_F)	3.97	states/eV/f.u.
spin magnetization	0.000	μB per atom

```
Bi2PPtAu
1.0
-3.423 -3.740 1.594
3.026 -1.087 3.947
-2.560 3.601 2.954
Bi Au P Pt
2 1 1 1
direct
0.000 0.000 0.500
0.500 0.000 0.000
0.000 0.500 0.000
0.500 0.500 0.500
0.000 0.000 0.000
```

***

Record 5
An optimized crystal structure of LiSi2SnHg. Source: Alexandria via LeMat-Bulk, functional GGA-PBE.

Summary:
N(E_F)	2.84	states/eV/f.u.
ΔE_f (raw)	0.896	eV/atom
spin magnetization	0.000	μB per atom

```
LiSi2SnHg
1.0
-4.251 -1.347 -2.484
1.358 -5.494 0.655
-2.550 -0.104 4.421
Hg Li Sn Si
1 1 1 2
direct
0.000 0.000 0.000
0.500 0.500 0.500
0.000 0.500 0.000
0.500 0.000 0.000
0.000 0.000 0.500
```

***

Record 6
An optimized crystal structure of CuRh. Source: Alexandria via LeMat-Bulk, functional GGA-PBE.

Summary:
ΔH_f (0 K)	0.647	eV per atom
N(E_F)	3.41	states/eV/f.u.
spin magnetization	0.001	μB per atom

```
CuRh
1.0
3.849 0.000 0.000
-1.925 3.334 0.000
0.000 0.000 4.682
Rh Cu
2 2
direct
0.667 0.333 0.750
0.333 0.667 0.250
0.000 0.000 0.500
0.000 0.000 0.000
```

***

Record 7
An optimized crystal structure of ErTm6Th12. Source: Alexandria via LeMat-Bulk, functional GGA-PBE.

Summary:
ΔH_f (0 K)	0.241	eV per atom
N(E_F)	30.13	states/eV/f.u.
spin magnetization	0.000	μB per atom

```
ErTm6Th12
1.0
-7.307 -1.540 4.448
5.328 -5.614 3.956
2.527 7.372 3.849
Th Tm Er
12 6 1
direct
0.754 0.246 0.500
0.083 0.349 0.349
0.349 0.083 0.349
0.651 0.917 0.651
0.246 0.754 0.500
0.349 0.349 0.083
0.500 0.754 0.246
0.754 0.500 0.246
0.651 0.651 0.917
0.917 0.651 0.651
0.500 0.246 0.754
0.246 0.500 0.754
0.099 0.663 0.099
0.901 0.337 0.901
0.337 0.901 0.901
0.099 0.099 0.663
0.663 0.099 0.099
0.901 0.901 0.337
0.000 0.000 0.000
```

***

Record 8
An optimized crystal structure of BaRe2Hg. Source: Alexandria via LeMat-Bulk, functional GGA-PBE.

Summary:
ΔH_f (0 K)	1.413	eV per atom
N(E_F)	4.84	states/eV/f.u.
spin magnetization	0.000	μB per atom

```
BaRe2Hg
1.0
-0.485 -1.095 2.684
1.537 -4.727 -1.650
5.243 1.203 1.439
Ba Re Hg
1 2 1
direct
0.500 0.000 0.500
0.500 0.500 0.000
0.000 0.000 0.000
0.000 0.500 0.500
```

***

Record 9
An optimized crystal structure of CaEuErTl. Source: Alexandria via LeMat-Bulk, functional GGA-PBE.

Summary:
ΔH_f (0 K)	-0.071	eV per atom
N(E_F)	7.83	states/eV/f.u.
spin magnetization	1.850	μB per atom

```
CaEuErTl
1.0
-2.973 -1.844 4.414
2.347 -0.133 5.119
-1.691 3.622 3.968
Ca Er Tl Eu
1 1 1 1
direct
0.500 0.500 0.500
0.750 0.750 0.750
0.000 0.000 0.000
0.250 0.250 0.250
```

***

Record 10
An optimized crystal structure of Tb3InAg4S8. Source: Alexandria via LeMat-Bulk, functional GGA-PBE.

Summary:
ΔE_f (raw)	-1.052	eV/atom
spin magnetization	0.000	μB per atom

```
Tb3InAg4S8
1.0
8.126 0.000 0.000
0.000 11.847 0.662
-4.063 -5.706 4.176
Ag In S Tb
4 1 8 3
direct
0.000 0.000 0.500
0.500 0.000 0.000
0.000 0.000 0.000
0.500 0.000 0.500
0.000 0.500 0.000
0.718 0.313 0.921
0.203 0.313 0.921
0.788 0.687 0.575
0.283 0.687 0.567
0.717 0.313 0.433
0.797 0.687 0.079
0.212 0.313 0.425
0.282 0.687 0.079
0.500 0.500 0.500
0.500 0.500 0.000
0.000 0.500 0.500
```

***

Record 11
An optimized crystal structure of Pm3DyGa8. Source: Alexandria via LeMat-Bulk, functional GGA-PBE.

Summary:
ΔH_f (0 K)	-0.569	eV per atom
N(E_F)	8.51	states/eV/f.u.
spin magnetization	0.000	μB per atom

```
Pm3DyGa8
1.0
-1.321 3.716 -3.923
-0.136 -1.529 -5.347
-9.355 -1.511 -2.224
Ga Dy Pm
8 1 3
direct
0.687 0.687 0.938
0.938 0.938 0.685
0.439 0.938 0.685
0.437 0.437 0.190
0.936 0.437 0.190
0.188 0.188 0.437
0.437 0.936 0.190
0.938 0.439 0.685
0.876 0.876 0.373
0.500 0.500 0.501
0.999 0.999 0.002
0.375 0.375 0.874
```

***

Record 12
An optimized crystal structure of CaPrSm2Hg4. Source: Alexandria via LeMat-Bulk, functional GGA-PBE.

Summary:
ΔH_f (0 K)	-0.501	eV per atom
N(E_F)	7.43	states/eV/f.u.
spin magnetization	0.001	μB per atom

```
CaPrSm2Hg4
1.0
5.375 0.000 0.000
2.688 4.655 0.000
2.688 1.552 8.836
Sm Hg Ca Pr
2 4 1 1
direct
0.753 0.753 0.741
0.247 0.247 0.259
0.376 0.376 0.872
0.624 0.624 0.128
0.875 0.875 0.375
0.125 0.125 0.625
0.500 0.500 0.500
0.000 0.000 0.000
```